[1]
# PuNiBiPt

An optimized crystal structure of PuNiBiPt (PBE, the Alexandria database).

Cell: 6.872 6.872 6.872 Å, 90.00 90.00 90.00°
Space group F-43m (No. 216)
One atom of each set of equivalent atoms:
Pu  0.000  0.000  0.000 x4
Ni  0.250  0.250  0.250 x4
Bi  0.000  0.000  0.500 x4
Pt  0.250  0.250  0.750 x4

[2]
# CaPm2Hg

An optimized crystal structure of CaPm2Hg (PBE, the Alexandria database).

Results
ΔE to the lowest computed polymorph, kJ/mol of atoms: 10.41

Cell: 3.7655 3.7655 33.1945 Å, 90.00 90.00 120.00°
Space group R3m (No. 160, hexagonal axes)
One atom of each set of equivalent atoms:
Ca  0.0000  0.0000  0.0000 x3
Pm  0.0000  0.0000  0.2384 x3
Pm  0.0000  0.0000  0.4277 x3
Hg  0.0000  0.0000  0.8332 x3

[3]
# Ca2RuPb

An optimized crystal structure of Ca2RuPb (PBE, the Alexandria database).

Cell: 3.549 3.644 7.625 Å, 90.00 90.00 90.00°
Space group Pmmm (No. 47)
One atom of each set of equivalent atoms:
Ca  0.000  0.000  0.210 x2
Ru  0.500  0.500  0.000 x1
Pb  0.500  0.500  0.500 x1

Values of energy of formation from the pure elements, in order: -24 -9 0, all in kJ per mole of atoms.
Values of total DFT energy (no corrections), in order: -7.753 -3.049 -4.247, all in eV per atom.